No. 1
A plane-wave DFT calculation with GGA-PBE was carried out for a relaxed structure of AuS2BrO8.

**Formation energy (no corrections)**: -52.8 kJ/mol of atoms

Lattice parameters (Å, degrees): 4.9916 4.9916 9.3237 74.47 74.47 60.00
Closest atoms and distances in Å follow each position.
Atoms (fractional coordinates):
O1 0.7048 0.7048 0.8855  1 S 1.49
O2 0.2491 0.9247 0.3366  1 S 1.50
O3 0.0753 0.7509 0.6634  1 S 1.50
Br1 0.0000 0.0000 0.0000  6 O 3.06
Au1 0.5000 0.5000 0.5000  6 O 2.24
O4 0.2952 0.2952 0.1145  1 S 1.49
O5 0.9247 0.4895 0.3366  1 S 1.50
O6 0.7509 0.5105 0.6634  1 S 1.50
O7 0.5105 0.0753 0.6634  1 S 1.50
S1 0.7607 0.7607 0.7180  4 O 1.49-1.50
S2 0.2393 0.2393 0.2820  4 O 1.49-1.50
O8 0.4895 0.2491 0.3366  1 S 1.50

No. 2
A plane-wave DFT calculation with GGA-PBE was carried out for a relaxed structure of CdWSe2.

**Formation energy (no corrections)**: -17.3 kJ/mol of atoms

Lattice parameters (Å, degrees): 3.2632 3.2632 9.8487 91.23 91.23 59.58
Closest atoms and distances in Å follow each position.
Atoms (fractional coordinates):
Se1 0.0898 0.0898 0.9276  3 W 2.57
Se2 0.4102 0.4102 0.5724  3 W 2.57
W1 0.7500 0.7500 0.7500  6 Se 2.57
Cd1 0.2500 0.2500 0.2500  6 Cd 3.24-3.26, 2 Se 3.28

No. 3
A plane-wave DFT calculation with GGA-PBE was carried out for a relaxed structure of Cd2AgP.

**Uncorrected energy**: -2.29 eV/atom

Lattice parameters (Å, degrees): 3.0587 3.0587 8.3918 90.00 90.00 89.83
Closest atoms and distances in Å follow each position.
Atoms (fractional coordinates):
Ag1 0.5000 0.5000 0.7303  4 P 2.81, 4 Cd 3.04, 4 Ag 3.06
Cd1 0.0000 0.0000 0.9846  4 Ag 3.04, 8 Cd 3.06-3.22
Cd2 0.5000 0.5000 0.2685  4 P 3.00-3.01, 8 Cd 3.06-3.22
P1 0.0000 0.0000 0.5167  4 Ag 2.81, 4 Cd 3.00-3.01, 4 P 3.06